A relaxed KLiTi2Ir crystal. Source: Alexandria via LeMat-Bulk, functional PBEsol.

a = 4.448 Å, b = 4.448 Å, c = 4.637 Å
α = 90.00°, β = 90.00°, γ = 90.00°
Space group P4/mmm (No. 123)
Unique sites:
K (0.000, 0.000, 0.000) x1
Li (0.500, 0.500, 0.500) x1
Ti (0.000, 0.500, 0.000) x2
Ir (0.000, 0.000, 0.500) x1

Values from the calculation:
Formation enthalpy at 0 K   2.046 eV per atom

A relaxed Tl2AgCl crystal. Source: Alexandria via LeMat-Bulk, functional PBEsol.

a = 3.619 Å, b = 3.638 Å, c = 7.299 Å
α = 90.00°, β = 90.00°, γ = 90.00°
Space group Pmmm (No. 47)
Unique sites:
Tl (0.000, 0.000, 0.234) x2
Ag (0.500, 0.500, 0.000) x1
Cl (0.500, 0.500, 0.500) x1

Values from the calculation:
E_form (uncorrected)   -0.86 eV/f.u.
E above lowest polymorph   0.0 meV per atom

A relaxed GaGeSbI2 crystal. Source: Alexandria via LeMat-Bulk, functional PBEsol.

a = 5.422 Å, b = 5.422 Å, c = 5.345 Å
α = 90.00°, β = 90.00°, γ = 90.00°
Space group P4/mmm (No. 123)
Unique sites:
Ga (0.000, 0.000, 0.000) x1
Ge (0.500, 0.500, 0.500) x1
Sb (0.000, 0.000, 0.500) x1
I (0.000, 0.500, 0.000) x2

Values from the calculation:
E_form (uncorrected)   2.47 eV/f.u.

A relaxed SrPb3Cl crystal. Source: Alexandria via LeMat-Bulk, functional PBEsol.

a = 6.104 Å, b = 6.104 Å, c = 6.104 Å
α = 90.00°, β = 90.00°, γ = 90.00°
Space group Pm-3m (No. 221)
Unique sites:
Sr (0.000, 0.000, 0.000) x1
Pb (0.000, 0.000, 0.500) x3
Cl (0.500, 0.500, 0.500) x1

Values from the calculation:
E_form (uncorrected)   3.66 eV/f.u.

A relaxed ZnPbBr crystal. Source: Alexandria via LeMat-Bulk, functional PBEsol.

a = 5.0327 Å, b = 5.0327 Å, c = 3.4639 Å
α = 90.00°, β = 90.00°, γ = 120.00°
Space group P3m1 (No. 156)
Unique sites:
Zn (0.0000, 0.0000, 0.0000) x1
Pb (0.6667, 0.3333, 0.3473) x1
Br (0.3333, 0.6667, 0.6498) x1

Values from the calculation:
E_form (uncorrected)   0.05 eV/f.u.

A relaxed KCo2Ni crystal. Source: Alexandria via LeMat-Bulk, functional PBEsol.

a = 8.225 Å, b = 2.586 Å, c = 6.521 Å
α = 90.00°, β = 95.04°, γ = 90.00°
Space group C2/m (No. 12)
Unique sites:
K (0.000, 0.000, 0.000) x2
Co (0.224, 0.000, 0.635) x4
Ni (0.000, 0.500, 0.500) x2

Values from the calculation:
Formation enthalpy at 0 K   0.738 eV per atom
E above lowest polymorph   0.0 meV per atom

A relaxed MgSbPb2 crystal. Source: Alexandria via LeMat-Bulk, functional PBEsol.

a = 3.449 Å, b = 3.449 Å, c = 9.029 Å
α = 90.00°, β = 90.00°, γ = 90.00°
Space group P4mm (No. 99)
Unique sites:
Mg (0.000, 0.000, 0.000) x1
Sb (0.500, 0.500, 0.209) x1
Pb (0.000, 0.000, 0.484) x1
Pb (0.500, 0.500, 0.762) x1

Values from the calculation:
E_form (uncorrected)   -0.13 eV/f.u.
E above lowest polymorph   10.3 meV per atom

A relaxed FeHg2MoIr crystal. Source: Alexandria via LeMat-Bulk, functional PBEsol.

a = 5.088 Å, b = 5.088 Å, c = 4.559 Å
α = 90.00°, β = 90.00°, γ = 90.00°
Space group P4/mmm (No. 123)
Unique sites:
Fe (0.000, 0.000, 0.000) x1
Hg (0.000, 0.500, 0.500) x2
Mo (0.500, 0.500, 0.000) x1
Ir (0.000, 0.000, 0.500) x1

Values from the calculation:
Formation enthalpy at 0 K   1.622 eV per atom

A relaxed LiSc4Zn crystal. Source: Alexandria via LeMat-Bulk, functional PBEsol.

a = 8.154 Å, b = 8.154 Å, c = 8.154 Å
α = 90.00°, β = 90.00°, γ = 90.00°
Space group F-43m (No. 216)
Unique sites:
Li (0.000, 0.000, 0.000) x4
Sc (0.124, 0.124, 0.376) x16
Zn (0.250, 0.250, 0.750) x4

Values from the calculation:
Formation enthalpy at 0 K   0.395 eV per atom

A relaxed RuSeIN2 crystal. Source: Alexandria via LeMat-Bulk, functional PBEsol.

a = 3.862 Å, b = 3.862 Å, c = 5.445 Å
α = 90.00°, β = 90.00°, γ = 90.00°
Space group P4/mmm (No. 123)
Unique sites:
Ru (0.000, 0.000, 0.000) x1
Se (0.000, 0.000, 0.500) x1
I (0.500, 0.500, 0.500) x1
N (0.000, 0.500, 0.000) x2

Values from the calculation:
E_form (uncorrected)   4.00 eV/f.u.

A relaxed NbSe2Cl crystal. Source: Alexandria via LeMat-Bulk, functional PBEsol.

a = 6.588 Å, b = 6.588 Å, c = 6.588 Å
α = 90.00°, β = 90.00°, γ = 90.00°
Space group Fm-3m (No. 225)
Unique sites:
Nb (0.000, 0.000, 0.000) x4
Se (0.250, 0.250, 0.250) x8
Cl (0.000, 0.000, 0.500) x4

Values from the calculation:
E_form (uncorrected)   -0.14 eV/f.u.

A relaxed BiN2F2 crystal. Source: Alexandria via LeMat-Bulk, functional PBEsol.

a = 3.605 Å, b = 3.605 Å, c = 4.338 Å
α = 90.00°, β = 90.00°, γ = 90.00°
Space group P4/mmm (No. 123)
Unique sites:
Bi (0.000, 0.000, 0.000) x1
N (0.000, 0.500, 0.500) x2
F (0.500, 0.500, 0.000) x1
F (0.500, 0.500, 0.500) x1

Values from the calculation:
E_form (uncorrected)   4.72 eV/f.u.
E above lowest polymorph   2041.1 meV per atom

Please write out number 1 again, unchanged.
A relaxed KLiTi2Ir crystal. Source: Alexandria via LeMat-Bulk, functional PBEsol.

a = 4.448 Å, b = 4.448 Å, c = 4.637 Å
α = 90.00°, β = 90.00°, γ = 90.00°
Space group P4/mmm (No. 123)
Unique sites:
K (0.000, 0.000, 0.000) x1
Li (0.500, 0.500, 0.500) x1
Ti (0.000, 0.500, 0.000) x2
Ir (0.000, 0.000, 0.500) x1

Values from the calculation:
Formation enthalpy at 0 K   2.046 eV per atom